# 1
# GdYHoAg PBE-GGA relaxed
# Total magnetic moment = 32.47 μB per cell
# Formation energy from the elements = 0.070 eV per atom
data_GdYHoAg
_chemical_formula_sum 'Gd4 Y4 Ho4 Ag4'
_cell_length_a 7.589
_cell_length_b 7.589
_cell_length_c 7.589
_cell_angle_alpha 90.00
_cell_angle_beta 90.00
_cell_angle_gamma 90.00
_space_group_name_H-M_alt 'F -4 3 m'
_space_group_IT_number 216
_space_group_name_Hall 'F -4 2 3'
loop_
_atom_site_label
_atom_site_fract_x
_atom_site_fract_y
_atom_site_fract_z
Gd1 0.000 0.000 0.000
Y1 0.250 0.250 0.750
Ho1 0.250 0.250 0.250
Ag1 0.000 0.000 0.500

***

# 2
# GdHoZnAg PBE-GGA relaxed
# Total magnetic moment = 28.55 μB per cell
# Formation energy from the elements = -0.316 eV per atom
data_GdHoZnAg
_chemical_formula_sum 'Gd4 Ho4 Zn4 Ag4'
_cell_length_a 7.237
_cell_length_b 7.237
_cell_length_c 7.237
_cell_angle_alpha 90.00
_cell_angle_beta 90.00
_cell_angle_gamma 90.00
_space_group_name_H-M_alt 'F -4 3 m'
_space_group_IT_number 216
_space_group_name_Hall 'F -4 2 3'
loop_
_atom_site_label
_atom_site_fract_x
_atom_site_fract_y
_atom_site_fract_z
Gd1 0.000 0.000 0.000
Ho1 0.000 0.000 0.500
Zn1 0.250 0.250 0.250
Ag1 0.250 0.250 0.750